Density functional theory data (GGA-PBE) for an optimized crystal structure of Si4Pb2O11.

Computed properties:
energy	-7.06	eV/atom
uncorrected formation energy	-2.140	eV/atom
calculated density	4149	kg/m³
symmetry	Pna2_1, No. 33

a b c (Å): 8.565 9.873 13.303
angles (deg): 90.00 90.00 90.00
Sites, in units of the cell vectors:
Si 0.125 0.183 0.000
Si 0.126 0.684 0.904
Si 0.192 0.438 0.432
Si 0.196 0.939 0.474
Si 0.304 0.439 0.974
Si 0.308 0.938 0.932
Si 0.374 0.184 0.404
Si 0.375 0.683 0.500
Si 0.625 0.317 0.000
Si 0.626 0.816 0.904
Si 0.692 0.062 0.432
Si 0.696 0.561 0.474
Si 0.804 0.061 0.974
Si 0.808 0.562 0.932
Si 0.874 0.316 0.404
Si 0.875 0.817 0.500
Pb 0.022 0.948 0.729
Pb 0.035 0.437 0.179
Pb 0.465 0.937 0.679
Pb 0.478 0.448 0.229
Pb 0.522 0.552 0.729
Pb 0.535 0.063 0.179
Pb 0.965 0.563 0.679
Pb 0.978 0.052 0.229
O 0.017 0.390 0.467
O 0.020 0.890 0.439
O 0.071 0.725 0.792
O 0.074 0.220 0.114
O 0.179 0.320 0.940
O 0.182 0.820 0.965
O 0.208 0.471 0.312
O 0.210 0.970 0.594
O 0.213 0.458 0.683
O 0.229 0.573 0.501
O 0.230 0.073 0.403
O 0.270 0.573 0.903
O 0.271 0.073 0.001
O 0.287 0.958 0.183
O 0.290 0.470 0.094
O 0.292 0.971 0.812
O 0.318 0.320 0.465
O 0.321 0.820 0.440
O 0.426 0.720 0.614
O 0.429 0.225 0.292
O 0.480 0.390 0.939
O 0.483 0.890 0.967
O 0.517 0.110 0.467
O 0.520 0.610 0.439
O 0.571 0.775 0.792
O 0.574 0.280 0.114
O 0.679 0.180 0.940
O 0.682 0.680 0.965
O 0.708 0.029 0.312
O 0.710 0.530 0.594
O 0.713 0.042 0.683
O 0.729 0.927 0.501
O 0.730 0.427 0.403
O 0.770 0.927 0.903
O 0.771 0.427 0.001
O 0.787 0.542 0.183
O 0.790 0.030 0.094
O 0.792 0.529 0.812
O 0.818 0.180 0.465
O 0.821 0.680 0.440
O 0.926 0.780 0.614
O 0.929 0.275 0.292
O 0.980 0.110 0.939
O 0.983 0.610 0.967

---

Density functional theory data (GGA-PBE) for an optimized crystal structure of HSe3F2.

Computed properties:
energy	-3.48	eV/atom
calculated density	3863	kg/m³
symmetry	P-1, No. 2

a b c (Å): 5.025 7.128 7.296
angles (deg): 86.46 70.99 73.86
Sites, in units of the cell vectors:
H 0.154 0.266 0.027
H 0.846 0.734 0.973
Se 0.006 0.315 0.425
Se 0.362 0.136 0.609
Se 0.378 0.256 0.125
Se 0.622 0.744 0.875
Se 0.638 0.864 0.391
Se 0.994 0.685 0.575
F 0.013 0.797 0.176
F 0.282 0.551 0.703
F 0.718 0.449 0.297
F 0.987 0.203 0.824

---

Density functional theory data (GGA-PBE) for an optimized crystal structure of Cs6RbTl.

Computed properties:
DFT formation energy	0.02	eV/atom
energy	-1.03	eV/atom
calculated density	2220	kg/m³
symmetry	C2/m, No. 12

a b c (Å): 9.519 9.519 9.575
angles (deg): 101.06 101.06 100.61
Sites, in units of the cell vectors:
Cs 0.085 0.714 0.713
Cs 0.286 0.915 0.287
Cs 0.287 0.287 0.920
Cs 0.713 0.713 0.080
Cs 0.714 0.085 0.713
Cs 0.915 0.286 0.287
Rb 0.500 0.500 0.500
Tl 0.000 0.000 0.000

---

Density functional theory data (GGA-PBE) for an optimized crystal structure of NaAl3In.

Computed properties:
DFT formation energy	0.68	eV/atom
energy	-2.38	eV/atom
calculated density	2342	kg/m³
symmetry	Pm-3m, No. 221

a b c (Å): 5.373 5.373 5.373
angles (deg): 90.00 90.00 90.00
Sites, in units of the cell vectors:
Na 0.000 0.000 0.000
Al 0.000 0.500 0.500
Al 0.500 0.000 0.500
Al 0.500 0.500 0.000
In 0.500 0.500 0.500

---

Density functional theory data (GGA-PBE) for an optimized crystal structure of SrScPb.

Computed properties:
DFT formation energy	-0.14	eV/atom
energy	-4.05	eV/atom
calculated density	5389	kg/m³
symmetry	F-43m, No. 216

a b c (Å): 5.290 5.290 5.290
angles (deg): 60.00 60.00 60.00
Sites, in units of the cell vectors:
Sr 0.000 0.000 0.000
Sc 0.500 0.500 0.500
Pb 0.250 0.250 0.250

---

Density functional theory data (GGA-PBE) for an optimized crystal structure of SrLiAlF6.

Computed properties:
energy	-5.66	eV/atom
uncorrected formation energy	-3.595	eV/atom
calculated density	3281	kg/m³
symmetry	P-31c, No. 163

a b c (Å): 5.161 5.161 10.335
angles (deg): 90.00 90.00 120.00
Sites, in units of the cell vectors:
Sr 0.000 0.000 0.000
Sr 0.000 0.000 0.500
Li 0.333 0.667 0.250
Li 0.667 0.333 0.750
Al 0.333 0.667 0.750
Al 0.667 0.333 0.250
F 0.032 0.387 0.852
F 0.032 0.645 0.648
F 0.355 0.387 0.648
F 0.355 0.968 0.852
F 0.387 0.032 0.352
F 0.387 0.355 0.148
F 0.613 0.645 0.852
F 0.613 0.968 0.648
F 0.645 0.032 0.148
F 0.645 0.613 0.352
F 0.968 0.355 0.352
F 0.968 0.613 0.148

---

Density functional theory data (GGA-PBE) for an optimized crystal structure of Ac3Tb8Pm.

Computed properties:
DFT formation energy	0.58	eV/atom
energy	-3.93	eV/atom
calculated density	7273	kg/m³
symmetry	I-42m, No. 121

a b c (Å): 8.641 8.641 8.641
angles (deg): 116.18 116.18 96.75
Sites, in units of the cell vectors:
Ac 0.000 0.000 0.000
Ac 0.250 0.750 0.500
Ac 0.750 0.250 0.500
Tb 0.139 0.139 0.753
Tb 0.237 0.698 0.000
Tb 0.302 0.302 0.540
Tb 0.387 0.387 0.247
Tb 0.613 0.861 0.000
Tb 0.698 0.237 0.000
Tb 0.763 0.763 0.460
Tb 0.861 0.613 0.000
Pm 0.500 0.500 0.000

---

Density functional theory data (GGA-PBE) for an optimized crystal structure of Ac2ZrCrS6.

Computed properties:
energy	-6.64	eV/atom
uncorrected formation energy	-1.524	eV/atom
calculated density	5796	kg/m³
symmetry	Pmmn, No. 59

a b c (Å): 6.715 9.676 6.964
angles (deg): 90.00 90.00 90.00
Sites, in units of the cell vectors:
Ac 0.250 0.026 0.212
Ac 0.250 0.474 0.212
Ac 0.750 0.526 0.788
Ac 0.750 0.974 0.788
Zr 0.250 0.250 0.721
Zr 0.750 0.750 0.279
Cr 0.250 0.750 0.768
Cr 0.750 0.250 0.232
S 0.000 0.250 0.461
S 0.000 0.750 0.539
S 0.010 0.750 0.013
S 0.250 0.508 0.770
S 0.250 0.992 0.770
S 0.490 0.750 0.013
S 0.500 0.250 0.461
S 0.500 0.750 0.539
S 0.510 0.250 0.987
S 0.750 0.008 0.230
S 0.750 0.492 0.230
S 0.990 0.250 0.987

---

Density functional theory data (GGA-PBE) for an optimized crystal structure of RhWN2.

Computed properties:
energy	-8.39	eV/atom
uncorrected formation energy	0.844	eV/atom
calculated density	13026	kg/m³
symmetry	Fm-3m, No. 225

a b c (Å): 3.843 3.843 3.843
angles (deg): 60.00 60.00 60.00
Sites, in units of the cell vectors:
Rh 0.000 0.000 0.000
W 0.500 0.500 0.500
N 0.250 0.250 0.250
N 0.750 0.750 0.750

---

Density functional theory data (GGA-PBE) for an optimized crystal structure of CsAsPbN2.

Computed properties:
energy	-3.32	eV/atom
uncorrected formation energy	1.853	eV/atom
calculated density	5334	kg/m³
symmetry	P4/mmm, No. 123

a b c (Å): 4.463 4.463 6.923
angles (deg): 90.00 90.00 90.00
Sites, in units of the cell vectors:
Cs 0.000 0.000 0.000
As 0.500 0.500 0.000
Pb 0.000 0.000 0.500
N 0.000 0.500 0.500
N 0.500 0.000 0.500

---

Density functional theory data (GGA-PBE) for an optimized crystal structure of CePr2Rh2.

Computed properties:
DFT formation energy	-0.62	eV/atom
energy	-6.66	eV/atom
calculated density	8066	kg/m³
symmetry	C2/c, No. 15

a b c (Å): 6.479 6.479 7.405
angles (deg): 99.53 99.53 57.87
Sites, in units of the cell vectors:
Ce 0.081 0.919 0.750
Ce 0.919 0.081 0.250
Pr 0.237 0.454 0.352
Pr 0.454 0.237 0.852
Pr 0.546 0.763 0.148
Pr 0.763 0.546 0.648
Rh 0.033 0.272 0.022
Rh 0.272 0.033 0.522
Rh 0.728 0.967 0.478
Rh 0.967 0.728 0.978

---

Density functional theory data (GGA-PBE) for an optimized crystal structure of Fe3PbN.

Computed properties:
energy	-4.85	eV/atom
uncorrected formation energy	2.631	eV/atom
calculated density	4914	kg/m³
symmetry	Pm-3m, No. 221

a b c (Å): 5.083 5.083 5.083
angles (deg): 90.00 90.00 90.00
Sites, in units of the cell vectors:
Fe 0.000 0.000 0.500
Fe 0.000 0.500 0.000
Fe 0.500 0.000 0.000
Pb 0.000 0.000 0.000
N 0.500 0.500 0.500

---

Density functional theory data (GGA-PBE) for an optimized crystal structure of BeSb2H.

Computed properties:
energy	-3.22	eV/atom
calculated density	6368	kg/m³
symmetry	Fm-3m, No. 225

a b c (Å): 4.539 4.539 4.539
angles (deg): 60.00 60.00 60.00
Sites, in units of the cell vectors:
Be 0.000 0.000 0.000
Sb 0.250 0.250 0.250
Sb 0.750 0.750 0.750
H 0.500 0.500 0.500

---

Density functional theory data (GGA-PBE) for an optimized crystal structure of Pm2Zn7Au12.

Computed properties:
DFT formation energy	-0.36	eV/atom
energy	-3.11	eV/atom
calculated density	13003	kg/m³
symmetry	P-6, No. 174

a b c (Å): 10.338 10.338 4.293
angles (deg): 90.00 90.00 120.00
Sites, in units of the cell vectors:
Pm 0.000 0.000 0.000
Pm 0.333 0.667 0.500
Zn 0.030 0.480 0.000
Zn 0.271 0.267 0.500
Zn 0.450 0.970 0.000
Zn 0.520 0.550 0.000
Zn 0.667 0.333 0.000
Zn 0.733 0.004 0.500
Zn 0.996 0.729 0.500
Au 0.012 0.249 0.500
Au 0.172 0.770 0.000
Au 0.230 0.401 0.000
Au 0.236 0.988 0.500
Au 0.372 0.198 0.000
Au 0.567 0.136 0.500
Au 0.569 0.433 0.500
Au 0.599 0.828 0.000
Au 0.751 0.764 0.500
Au 0.802 0.174 0.000
Au 0.826 0.628 0.000
Au 0.864 0.431 0.500

---

Density functional theory data (GGA-PBE) for an optimized crystal structure of Zn2CoH6.

Computed properties:
energy	-3.24	eV/atom
calculated density	4613	kg/m³
symmetry	P2_1/c, No. 14

a b c (Å): 4.263 5.038 7.430
angles (deg): 90.00 117.97 90.00
Sites, in units of the cell vectors:
Zn 0.150 0.232 0.144
Zn 0.150 0.268 0.644
Zn 0.850 0.732 0.356
Zn 0.850 0.768 0.856
Co 0.500 0.000 0.500
Co 0.500 0.500 0.000
H 0.187 0.206 0.409
H 0.187 0.294 0.909
H 0.294 0.723 0.464
H 0.294 0.777 0.964
H 0.485 0.522 0.784
H 0.485 0.978 0.284
H 0.515 0.022 0.716
H 0.515 0.478 0.216
H 0.706 0.223 0.036
H 0.706 0.277 0.536
H 0.813 0.706 0.091
H 0.813 0.794 0.591

---

Density functional theory data (GGA-PBE) for an optimized crystal structure of HgPtCl2.

Computed properties:
energy	-2.05	eV/atom
uncorrected formation energy	0.462	eV/atom
calculated density	9774	kg/m³
symmetry	F-43m, No. 216

a b c (Å): 4.822 4.822 4.822
angles (deg): 60.00 60.00 60.00
Sites, in units of the cell vectors:
Hg 0.000 0.000 0.000
Pt 0.250 0.250 0.250
Cl 0.500 0.500 0.500
Cl 0.750 0.750 0.750

---

Density functional theory data (GGA-PBE) for an optimized crystal structure of TbBeRe.

Computed properties:
DFT formation energy	0.16	eV/atom
energy	-6.77	eV/atom
calculated density	12144	kg/m³
symmetry	Fddd, No. 70

a b c (Å): 9.974 9.279 5.045
angles (deg): 82.60 67.29 30.11
Sites, in units of the cell vectors:
Tb 0.044 0.706 0.044
Tb 0.294 0.956 0.294
Tb 0.706 0.044 0.706
Tb 0.956 0.294 0.956
Be 0.001 0.001 0.249
Be 0.249 0.249 0.001
Be 0.751 0.751 0.999
Be 0.999 0.999 0.751
Re 0.305 0.305 0.445
Re 0.445 0.445 0.305
Re 0.555 0.555 0.695
Re 0.695 0.695 0.555

---

Density functional theory data (GGA-PBE) for an optimized crystal structure of AcOF.

Computed properties:
energy	-7.44	eV/atom
uncorrected formation energy	-3.790	eV/atom
calculated density	8160	kg/m³
symmetry	F-43m, No. 216

a b c (Å): 4.225 4.225 4.225
angles (deg): 60.00 60.00 60.00
Sites, in units of the cell vectors:
Ac 0.000 0.000 0.000
O 0.250 0.250 0.250
F 0.750 0.750 0.750

---

Density functional theory data (GGA-PBE) for an optimized crystal structure of CsTl2CuBr4.

Computed properties:
energy	-2.98	eV/atom
uncorrected formation energy	-0.930	eV/atom
calculated density	5123	kg/m³
symmetry	Cmcm, No. 63

a b c (Å): 8.284 8.284 16.584
angles (deg): 90.00 90.00 148.21
Sites, in units of the cell vectors:
Cs 0.097 0.903 0.750
Cs 0.903 0.097 0.250
Tl 0.364 0.636 0.549
Tl 0.364 0.636 0.951
Tl 0.636 0.364 0.049
Tl 0.636 0.364 0.451
Cu 0.173 0.827 0.250
Cu 0.827 0.173 0.750
Br 0.000 0.000 0.000
Br 0.000 0.000 0.500
Br 0.269 0.731 0.132
Br 0.269 0.731 0.368
Br 0.406 0.594 0.750
Br 0.594 0.406 0.250
Br 0.731 0.269 0.632
Br 0.731 0.269 0.868

---

Density functional theory data (GGA-PBE) for an optimized crystal structure of Na3Ce2PmSe6.

Computed properties:
energy	-5.10	eV/atom
uncorrected formation energy	-1.643	eV/atom
calculated density	4825	kg/m³
symmetry	C2/m, No. 12

a b c (Å): 7.427 7.427 7.401
angles (deg): 99.63 99.63 120.00
Sites, in units of the cell vectors:
Na 0.000 0.000 0.000
Na 0.334 0.666 0.000
Na 0.666 0.334 0.000
Ce 0.167 0.833 0.500
Ce 0.833 0.167 0.500
Pm 0.500 0.500 0.500
Se 0.090 0.421 0.264
Se 0.247 0.247 0.735
Se 0.421 0.090 0.264
Se 0.579 0.910 0.736
Se 0.753 0.753 0.265
Se 0.910 0.579 0.736